DFT (GGA-PBE) results for an optimized crystal structure of Nd6Y2Ho3Mg.

- ΔE_f (eV per formula unit) = 0.23
- D(E_F) (states/eV/atom) = 1.069
- total DFT energy (no corrections) (eV/atom) = -4.719

The structure in CIF format:
```
data_Nd6Y2Ho3Mg
_space_group_name_H-M_alt 'P 1'
_space_group_IT_number 1
_space_group_name_Hall 'P 1'
_cell_length_a 6.240
_cell_length_b 6.240
_cell_length_c 11.811
_cell_angle_alpha 95.07
_cell_angle_beta 95.07
_cell_angle_gamma 120.04
loop_
_atom_site_label
_atom_site_type_symbol
_atom_site_fract_x
_atom_site_fract_y
_atom_site_fract_z
Nd1 Nd 0.917 0.586 0.750
Nd2 Nd 0.751 0.751 0.251
Nd3 Nd 0.083 0.414 0.250
Nd4 Nd 0.586 0.917 0.750
Nd5 Nd 0.249 0.249 0.749
Nd6 Nd 0.414 0.083 0.250
Y1 Y 0.333 0.667 0.000
Y2 Y 0.667 0.333 0.000
Ho1 Ho 0.167 0.833 0.500
Ho2 Ho 0.833 0.167 0.500
Ho3 Ho 0.500 0.500 0.500
Mg1 Mg 0.000 0.000 0.000
```